VASP calculation (PBE) on a relaxed structure of Si2AgHg.

Results
As for the symmetry: No. 166. As for the formation energy (no corrections): 423.3 meV/atom.

a b c (Å): 2.8833 2.8833 31.4965
angles (deg): 90.00 90.00 120.00
Last column: nearest neighbours and their distance in Å.
Positions (direct):
Si  0.0000  0.0000  0.2393  3 Ag 2.83, 6 Si 2.88
Si  0.0000  0.0000  0.7607  3 Ag 2.83, 6 Si 2.88
Si  0.3333  0.6667  0.4274  3 Ag 2.83, 6 Si 2.88
Si  0.3333  0.6667  0.9060  3 Ag 2.83, 6 Si 2.88
Si  0.6667  0.3333  0.0940  3 Ag 2.83, 6 Si 2.88
Si  0.6667  0.3333  0.5726  3 Ag 2.83, 6 Si 2.88
Ag  0.0000  0.0000  0.5000  6 Si 2.83, 6 Ag 2.88
Ag  0.3333  0.6667  0.1667  6 Si 2.83, 6 Ag 2.88
Ag  0.6667  0.3333  0.8333  6 Si 2.83, 6 Ag 2.88
Hg  0.0000  0.0000  0.0000  6 Hg 2.88
Hg  0.3333  0.6667  0.6667  6 Hg 2.88
Hg  0.6667  0.3333  0.3333  6 Hg 2.88

VASP calculation (PBE) on a relaxed structure of NaSnN3.

Results
As for the symmetry: No. 221. As for the formation energy (no corrections): 1315.6 meV/atom.

a b c (Å): 4.2278 4.2278 4.2278
angles (deg): 90.00 90.00 90.00
Last column: nearest neighbours and their distance in Å.
Positions (direct):
Na  0.0000  0.0000  0.0000  12 N 2.99
Sn  0.5000  0.5000  0.5000  6 N 2.11
N  0.0000  0.5000  0.5000  2 Sn 2.11
N  0.5000  0.0000  0.5000  2 Sn 2.11
N  0.5000  0.5000  0.0000  2 Sn 2.11

VASP calculation (PBE) on a relaxed structure of Zn2BHOs.

Results
As for the symmetry: No. 123. Its calculated total energy is -3.862 eV per atom.

a b c (Å): 4.0431 4.0431 4.0603
angles (deg): 90.00 90.00 90.00
Last column: nearest neighbours and their distance in Å.
Positions (direct):
Zn  0.0000  0.5000  0.0000  2 B 2.02
Zn  0.5000  0.0000  0.0000  2 B 2.02
B  0.0000  0.0000  0.0000  4 Zn 2.02, 2 Os 2.03
H  0.5000  0.5000  0.5000  4 Os 2.86, 8 Zn 2.87
Os  0.0000  0.0000  0.5000  2 B 2.03

VASP calculation (PBE) on a relaxed structure of Li2CaP.

Results
As for the symmetry: No. 12. Its formation energy is -524 meV/atom.

a b c (Å): 7.7350 3.9519 5.2279
angles (deg): 90.00 105.52 90.00
Last column: nearest neighbours and their distance in Å.
Positions (direct):
Li  0.1993  0.0000  0.1030  3 P 2.48-2.52, 2 Li 2.48
Li  0.3007  0.5000  0.8970  3 P 2.48-2.52, 2 Li 2.48
Li  0.6993  0.5000  0.1030  3 P 2.48-2.52, 2 Li 2.48
Li  0.8007  0.0000  0.8970  3 P 2.48-2.52, 2 Li 2.48
Ca  0.0000  0.0000  0.5000  4 Li 2.90-3.12
Ca  0.5000  0.5000  0.5000  4 Li 2.90-3.12
P  0.0000  0.5000  0.0000  6 Li 2.48-2.52
P  0.5000  0.0000  0.0000  6 Li 2.48-2.52

VASP calculation (PBE) on a relaxed structure of Pm4YTm2.

Results
As for the symmetry: No. 5. As for the energy relative to the lowest polymorph listed for this composition: 0.127 eV per atom. Its formation energy is 181 meV/atom.

a b c (Å): 8.9078 8.9078 11.4961
angles (deg): 130.16 130.16 45.62
Last column: nearest neighbours and their distance in Å.
Positions (direct):
Pm  0.0008  0.0008  0.2501  1 Pm 2.99, 1 Y 3.00, 1 Tm 3.00
Pm  0.3232  0.0040  0.6625  1 Tm 3.27, 1 Y 3.30, 2 Pm 3.62-3.65
Pm  0.3244  0.0032  0.1647  1 Tm 3.27, 1 Y 3.30, 2 Pm 3.61-3.64
Pm  0.4310  0.5660  0.7480  1 Pm 2.99
Pm  0.4340  0.5690  0.2520  1 Pm 2.99
Pm  0.9960  0.6768  0.3375  1 Tm 3.27, 1 Y 3.30, 2 Pm 3.62-3.65
Pm  0.9968  0.6756  0.8353  1 Tm 3.27, 1 Y 3.30, 2 Pm 3.61-3.64
Pm  0.9992  0.9992  0.7499  1 Pm 2.99, 1 Y 3.00, 1 Tm 3.00
Y  0.5535  0.0139  0.0337  3 Pm 3.00-3.30
Y  0.9861  0.4465  0.9663  3 Pm 3.00-3.30
Tm  0.5511  0.0137  0.5323  3 Pm 3.00-3.27
Tm  0.7007  0.2993  0.0000  6 Pm 3.42-3.71
Tm  0.7041  0.2959  0.5000  6 Pm 3.43-3.69
Tm  0.9863  0.4489  0.4677  3 Pm 3.00-3.27

VASP calculation (PBE) on a relaxed structure of PtRhN.

Results
As for the symmetry: No. 5. As for the formation energy (no corrections): 332.9 meV/atom. As for the energy relative to the lowest polymorph listed for this composition: 0.160 eV per atom.

a b c (Å): 7.0105 5.5512 4.3847
angles (deg): 90.00 100.17 90.00
Last column: nearest neighbours and their distance in Å.
Positions (direct):
Pt  0.0000  0.0000  0.0000  2 N 2.02
Pt  0.0000  0.4960  0.0000  2 N 1.98
Pt  0.5000  0.5000  0.0000  2 N 2.02
Pt  0.5000  0.9960  0.0000  2 N 1.98
Rh  0.1983  0.8036  0.5477  2 N 1.93-1.97
Rh  0.3017  0.3036  0.4523  2 N 1.93-1.97
Rh  0.6983  0.3036  0.5477  2 N 1.93-1.97
Rh  0.8017  0.8036  0.4523  2 N 1.93-1.97
N  0.2222  0.5049  0.7778  2 Rh 1.93-1.97, 2 Pt 1.98-2.02
N  0.2778  0.0049  0.2222  2 Rh 1.93-1.97, 2 Pt 1.98-2.02
N  0.7222  0.0049  0.7778  2 Rh 1.93-1.97, 2 Pt 1.98-2.02
N  0.7778  0.5049  0.2222  2 Rh 1.93-1.97, 2 Pt 1.98-2.02